Here is a relaxed ReTc2WF crystal from Alexandria via LeMat-Bulk. Energies are from PBE+U.

E_tot   -35.20 eV/cell
Space group   P4/mmm (123)
M_tot   1.362 μB per formula unit

Geometry as POSCAR:
```
ReTc2WF
1.0
4.8279 0.0000 0.0000
0.0000 4.8279 0.0000
0.0000 0.0000 3.7849
Re Tc W F
1 2 1 1
Cartesian
0.0000 0.0000 0.0000
0.0000 2.4139 1.8924
2.4139 0.0000 1.8924
2.4139 2.4139 1.8924
2.4139 2.4139 0.0000
```